1.
The following is a DFT calculation (PBE) of YCo3Si after structural relaxation.

```
YCo3Si
1.0
4.733 0.000 0.000
0.000 7.919 0.000
-2.367 -3.960 4.070
Y Co Si
2 6 2
Cartesian
0.000 0.386 2.035
2.367 3.574 2.035
1.183 -1.980 3.965
-1.183 -1.980 3.965
3.550 5.939 0.105
1.183 5.939 0.105
0.000 5.323 2.035
2.367 -1.363 2.035
0.000 3.960 0.000
2.367 0.000 0.000
```

Values from the calculation:
Energy ... -6.9317 eV per atom
Crystal system ... orthorhombic
Energy relative to the elements, uncorrected ... -0.291 eV per atom
Magnetization ... 1.172 μB/f.u.
E above lowest polymorph ... 0.0 kJ/mol of atoms

---

2.
The following is a DFT calculation (PBE) of CeSmCuSn after structural relaxation.

```
CeSmCuSn
1.0
-4.801 -1.832 -1.202
-2.650 -2.944 3.488
-4.257 1.969 2.420
Cu Ce Sm Sn
1 1 1 1
Cartesian
-8.782 -2.105 3.529
-5.854 -1.404 2.353
0.000 0.000 0.000
-2.927 -0.702 1.176
```

Values from the calculation:
Energy ... -5.0203 eV per atom
Crystal system ... cubic
Magnetization ... 1.658 μB/f.u.
Energy of formation from the pure elements ... -0.33 eV/atom

---

3.
The following is a DFT calculation (PBE) of CeTl2Cl7 after structural relaxation.

```
CeTl2Cl7
1.0
-6.407 -2.980 -3.558
-7.570 -2.973 7.325
-6.521 5.967 -2.049
Ce Tl Cl
2 4 14
Cartesian
-12.949 0.865 -3.130
-7.549 -0.850 4.848
-16.421 -0.533 2.516
-8.565 -1.653 0.328
-11.934 1.667 1.389
-4.078 0.547 -0.799
-14.203 1.301 -0.844
-15.497 -3.527 3.416
-14.578 2.345 2.976
-7.466 1.456 -0.173
-10.711 1.905 -1.887
-11.229 -0.871 -1.715
-8.725 4.788 -0.695
-11.773 -4.773 2.413
-9.269 0.885 3.433
-9.787 -1.891 3.605
-13.033 -1.442 1.891
-5.920 -2.331 -1.258
-5.002 3.541 -1.698
-6.295 -1.287 2.562
```

Values from the calculation:
Energy ... -3.6892 eV per atom
Crystal system ... monoclinic
Energy relative to the elements, uncorrected ... -1.330 eV per atom
Magnetization ... 0.982 μB/f.u.

---

4.
The following is a DFT calculation (PBE) of Tb3Be2CuPd9 after structural relaxation.

```
Tb3Be2CuPd9
1.0
6.602 0.000 0.000
-3.301 5.717 0.000
0.000 0.000 7.011
Tb Be Cu Pd
3 2 1 9
Cartesian
0.000 3.812 4.687
0.000 0.000 0.000
3.301 1.906 2.323
0.000 3.812 0.997
3.301 1.906 6.014
0.000 0.000 3.505
4.787 1.048 4.695
3.301 3.621 4.695
1.815 1.048 4.695
1.486 4.669 2.316
0.000 2.096 2.316
-1.486 4.669 2.316
3.301 0.000 0.000
-1.650 2.859 0.000
1.650 2.859 0.000
```

Values from the calculation:
Energy ... -5.3784 eV per atom
Crystal system ... trigonal
Magnetization ... 0.000 μB/f.u.
Energy of formation from the pure elements ... -0.57 eV/atom

---

5.
The following is a DFT calculation (PBE) of RbScTaAl2 after structural relaxation.

```
RbScTaAl2
1.0
-0.243 2.001 4.728
-4.877 -1.223 0.267
1.255 -4.566 1.997
Sc Al Rb Ta
1 2 1 1
Cartesian
-1.933 -1.895 3.496
0.627 -2.283 0.998
-0.121 1.000 2.364
0.000 0.000 0.000
-2.439 -0.612 0.134
```

Values from the calculation:
Energy ... -3.1160 eV per atom
Crystal system ... tetragonal
Magnetization ... 0.000 μB/f.u.
Energy of formation from the pure elements ... 2.21 eV/atom

---

6.
The following is a DFT calculation (PBE) of MnRePb2 after structural relaxation.

```
MnRePb2
1.0
3.383 0.000 0.000
0.000 5.359 0.000
0.000 0.000 4.570
Mn Pb Re
1 2 1
Cartesian
0.000 2.680 2.285
0.000 0.000 0.000
1.692 2.680 0.000
1.692 0.000 2.285
```

Values from the calculation:
Energy ... -6.2926 eV per atom
Crystal system ... orthorhombic
Magnetization ... 3.650 μB/f.u.
E above lowest polymorph ... 53.1 kJ/mol of atoms
Energy of formation from the pure elements ... 0.97 eV/atom